1.
# NdIn4Br7

A geometry-optimized NdIn4Br7 structure (GGA-PBE, Alexandria via LeMat-Bulk).

Cell and atoms, written as CIF:
```
data_NdIn4Br7
_chemical_formula_sum 'Nd2 In8 Br14'
_cell_length_a 21.644
_cell_length_b 5.662
_cell_length_c 7.909
_cell_angle_alpha 90.00
_cell_angle_beta 107.53
_cell_angle_gamma 90.00
_symmetry_space_group_name_H-M 'C 1 2/m 1'
_symmetry_Int_Tables_number 12
loop_
_symmetry_equiv_pos_as_xyz
'x,y,z'
'-x,-y,-z'
'-x,y,-z'
'x,-y,z'
'x+1/2,y+1/2,z'
'-x+1/2,-y+1/2,-z'
'-x+1/2,y+1/2,-z'
'x+1/2,-y+1/2,z'
loop_
_atom_site_label
_atom_site_fract_x
_atom_site_fract_y
_atom_site_fract_z
Nd1 0.000 0.000 0.000
In1 0.084 0.500 0.633
In2 0.198 0.500 0.253
Br1 0.000 0.500 0.000
Br2 0.084 0.000 0.362
Br3 0.115 0.000 0.883
Br4 0.223 0.500 0.658
```

## Properties
* uncorrected formation energy: -1028 meV/atom
* E_tot: -3.314 eV/atom

---

2.
# Nd2Ni3Sn2

A geometry-optimized Nd2Ni3Sn2 structure (GGA-PBE, Alexandria via LeMat-Bulk).

Cell and atoms, written as CIF:
```
data_Nd2Ni3Sn2
_chemical_formula_sum 'Nd8 Ni12 Sn8'
_cell_length_a 8.493
_cell_length_b 8.493
_cell_length_c 8.493
_cell_angle_alpha 90.00
_cell_angle_beta 90.00
_cell_angle_gamma 90.00
_symmetry_space_group_name_H-M 'I 21 3'
_symmetry_Int_Tables_number 199
_symmetry_space_group_name_Hall 'I 2b 2c 3'
loop_
_atom_site_label
_atom_site_fract_x
_atom_site_fract_y
_atom_site_fract_z
Nd1 0.001 0.499 0.501
Ni1 0.000 0.250 0.209
Sn1 0.215 0.285 0.715
```

## Properties
* E_tot: -5.354 eV/atom
* DFT formation energy: -371 meV per atom

---

3.
# Na3Tm3PtO8

A geometry-optimized Na3Tm3PtO8 structure (GGA-PBE, Alexandria via LeMat-Bulk).

Cell and atoms, written as CIF:
```
data_Na3Tm3PtO8
_chemical_formula_sum 'Na9 Tm9 Pt3 O24'
_cell_length_a 6.6056
_cell_length_b 6.6056
_cell_length_c 16.6572
_cell_angle_alpha 90.00
_cell_angle_beta 90.00
_cell_angle_gamma 120.00
_symmetry_space_group_name_H-M 'R -3 m'
_symmetry_Int_Tables_number 166
_symmetry_space_group_name_Hall '-R 3 2"'
loop_
_atom_site_label
_atom_site_fract_x
_atom_site_fract_y
_atom_site_fract_z
Na1 0.0000 0.5000 0.0000
Tm1 0.0000 0.5000 0.5000
Pt1 0.0000 0.0000 0.5000
O1 0.0000 0.0000 0.2351
O2 0.0216 0.5108 0.2338
```

## Properties
* uncorrected formation energy: -2411 meV/atom
* E_tot: -6.617 eV/atom

---

4.
# Re2TeRh

A geometry-optimized Re2TeRh structure (GGA-PBE, Alexandria via LeMat-Bulk).

Cell and atoms, written as CIF:
```
data_Re2TeRh
_chemical_formula_sum 'Re4 Te2 Rh2'
_cell_length_a 5.294
_cell_length_b 8.317
_cell_length_c 2.999
_cell_angle_alpha 90.00
_cell_angle_beta 90.00
_cell_angle_gamma 90.00
_symmetry_space_group_name_H-M 'C m m m'
_symmetry_Int_Tables_number 65
_symmetry_space_group_name_Hall '-C 2 2'
loop_
_atom_site_label
_atom_site_fract_x
_atom_site_fract_y
_atom_site_fract_z
Re1 0.250 0.250 0.000
Te1 0.000 0.000 0.500
Rh1 0.000 0.500 0.500
```

## Properties
* uncorrected formation energy: 716 meV/atom
* E_tot: -8.131 eV/atom

---

5.
# AcPaAl2O8

A geometry-optimized AcPaAl2O8 structure (GGA-PBE, Alexandria via LeMat-Bulk).

Cell and atoms, written as CIF:
```
data_AcPaAl2O8
_chemical_formula_sum 'Ac3 Pa3 Al6 O24'
_cell_length_a 5.0574
_cell_length_b 5.0574
_cell_length_c 22.3470
_cell_angle_alpha 90.00
_cell_angle_beta 90.00
_cell_angle_gamma 120.00
_symmetry_space_group_name_H-M 'R 3 2'
_symmetry_Int_Tables_number 155
_symmetry_space_group_name_Hall 'R 3 2"'
loop_
_atom_site_label
_atom_site_fract_x
_atom_site_fract_y
_atom_site_fract_z
Ac1 0.0000 0.0000 0.0000
Pa1 0.0000 0.0000 0.5000
Al1 0.0000 0.0000 0.2496
O1 0.0000 0.0000 0.3283
O2 0.0018 0.3296 0.8949
```

## Properties
* uncorrected formation energy: -2652 meV/atom
* E_tot: -7.715 eV/atom

---

6.
# RbNa2TlZn

A geometry-optimized RbNa2TlZn structure (GGA-PBE, Alexandria via LeMat-Bulk).

Cell and atoms, written as CIF:
```
data_RbNa2TlZn
_chemical_formula_sum 'Rb1 Na2 Tl1 Zn1'
_cell_length_a 5.890
_cell_length_b 5.890
_cell_length_c 5.469
_cell_angle_alpha 90.00
_cell_angle_beta 90.00
_cell_angle_gamma 90.00
_symmetry_space_group_name_H-M 'P 4/m m m'
_symmetry_Int_Tables_number 123
_symmetry_space_group_name_Hall '-P 4 2'
loop_
_atom_site_label
_atom_site_fract_x
_atom_site_fract_y
_atom_site_fract_z
Rb1 0.000 0.000 0.000
Na1 0.000 0.500 0.500
Tl1 0.500 0.500 0.000
Zn1 0.500 0.500 0.500
```

## Properties
* relative energy among the computed polymorphs: 0 meV per atom
* E_tot: -1.415 eV/atom
* DFT formation energy: 34 meV per atom

---

7.
# SrLi2P

A geometry-optimized SrLi2P structure (GGA-PBE, Alexandria via LeMat-Bulk).

Cell and atoms, written as CIF:
```
data_SrLi2P
_chemical_formula_sum 'Sr2 Li4 P2'
_cell_length_a 4.363
_cell_length_b 4.363
_cell_length_c 9.517
_cell_angle_alpha 90.00
_cell_angle_beta 90.00
_cell_angle_gamma 90.00
_symmetry_space_group_name_H-M 'I 4/m m m'
_symmetry_Int_Tables_number 139
_symmetry_space_group_name_Hall '-I 4 2'
loop_
_atom_site_label
_atom_site_fract_x
_atom_site_fract_y
_atom_site_fract_z
Sr1 0.000 0.000 0.000
Li1 0.000 0.500 0.250
P1 0.000 0.000 0.500
```

## Properties
* E_tot: -3.063 eV/atom
* DFT formation energy: -333 meV per atom

---

8.
# YAs2PtSe

A geometry-optimized YAs2PtSe structure (GGA-PBE, Alexandria via LeMat-Bulk).

Cell and atoms, written as CIF:
```
data_YAs2PtSe
_chemical_formula_sum 'Y1 As2 Pt1 Se1'
_cell_length_a 4.851
_cell_length_b 4.851
_cell_length_c 5.153
_cell_angle_alpha 90.00
_cell_angle_beta 90.00
_cell_angle_gamma 90.00
_symmetry_space_group_name_H-M 'P 4/m m m'
_symmetry_Int_Tables_number 123
_symmetry_space_group_name_Hall '-P 4 2'
loop_
_atom_site_label
_atom_site_fract_x
_atom_site_fract_y
_atom_site_fract_z
Y1 0.000 0.000 0.000
As1 0.000 0.500 0.500
Pt1 0.500 0.500 0.500
Se1 0.500 0.500 0.000
```

## Properties
* relative energy among the computed polymorphs: 0 meV per atom
* uncorrected formation energy: -161 meV/atom
* E_tot: -5.218 eV/atom

---

9.
# LiYBRu2

A geometry-optimized LiYBRu2 structure (GGA-PBE, Alexandria via LeMat-Bulk).

Cell and atoms, written as CIF:
```
data_LiYBRu2
_chemical_formula_sum 'Li1 Y1 B1 Ru2'
_cell_length_a 4.963
_cell_length_b 4.963
_cell_length_c 4.775
_cell_angle_alpha 90.00
_cell_angle_beta 90.00
_cell_angle_gamma 90.00
_symmetry_space_group_name_H-M 'P 4/m m m'
_symmetry_Int_Tables_number 123
_symmetry_space_group_name_Hall '-P 4 2'
loop_
_atom_site_label
_atom_site_fract_x
_atom_site_fract_y
_atom_site_fract_z
Li1 0.000 0.000 0.000
Y1 0.500 0.500 0.500
B1 0.500 0.500 0.000
Ru1 0.000 0.500 0.500
```

## Properties
* relative energy among the computed polymorphs: 2177 meV per atom
* E_tot: -4.794 eV/atom
* DFT formation energy: 1927 meV per atom

---

10.
# CaUS2

A geometry-optimized CaUS2 structure (GGA-PBE, Alexandria via LeMat-Bulk).

Cell and atoms, written as CIF:
```
data_CaUS2
_chemical_formula_sum 'Ca3 U3 S6'
_cell_length_a 3.7814
_cell_length_b 3.7814
_cell_length_c 21.3576
_cell_angle_alpha 90.00
_cell_angle_beta 90.00
_cell_angle_gamma 120.00
_symmetry_space_group_name_H-M 'R 3 m'
_symmetry_Int_Tables_number 160
_symmetry_space_group_name_Hall 'R 3 -2"'
loop_
_atom_site_label
_atom_site_fract_x
_atom_site_fract_y
_atom_site_fract_z
Ca1 0.0000 0.0000 0.0000
U1 0.0000 0.0000 0.8266
S1 0.0000 0.0000 0.2437
S2 0.0000 0.0000 0.4130
```

## Properties
* relative energy among the computed polymorphs: 96 meV per atom
* uncorrected formation energy: -1530 meV/atom
* E_tot: -6.916 eV/atom

---

11.
# AcTbDyAl

A geometry-optimized AcTbDyAl structure (GGA-PBE, Alexandria via LeMat-Bulk).

Cell and atoms, written as CIF:
```
data_AcTbDyAl
_chemical_formula_sum 'Ac4 Tb4 Dy4 Al4'
_cell_length_a 7.799
_cell_length_b 7.799
_cell_length_c 7.799
_cell_angle_alpha 90.00
_cell_angle_beta 90.00
_cell_angle_gamma 90.00
_symmetry_space_group_name_H-M 'F -4 3 m'
_symmetry_Int_Tables_number 216
_symmetry_space_group_name_Hall 'F -4 2 3'
loop_
_atom_site_label
_atom_site_fract_x
_atom_site_fract_y
_atom_site_fract_z
Ac1 0.000 0.000 0.000
Tb1 0.250 0.250 0.250
Dy1 0.250 0.250 0.750
Al1 0.000 0.000 0.500
```

## Properties
* E_tot: -4.190 eV/atom
* DFT formation energy: 81 meV per atom

---

12.
# CoNi2RhBr

A geometry-optimized CoNi2RhBr structure (GGA-PBE, Alexandria via LeMat-Bulk).

Cell and atoms, written as CIF:
```
data_CoNi2RhBr
_chemical_formula_sum 'Co1 Ni2 Rh1 Br1'
_cell_length_a 4.286
_cell_length_b 4.286
_cell_length_c 4.637
_cell_angle_alpha 90.00
_cell_angle_beta 90.00
_cell_angle_gamma 90.00
_symmetry_space_group_name_H-M 'P 4/m m m'
_symmetry_Int_Tables_number 123
_symmetry_space_group_name_Hall '-P 4 2'
loop_
_atom_site_label
_atom_site_fract_x
_atom_site_fract_y
_atom_site_fract_z
Co1 0.000 0.000 0.000
Ni1 0.000 0.500 0.500
Rh1 0.500 0.500 0.000
Br1 0.500 0.500 0.500
```

## Properties
* uncorrected formation energy: 1181 meV/atom
* E_tot: -4.358 eV/atom

---

13.
# Ba2SrLaH

A geometry-optimized Ba2SrLaH structure (GGA-PBE, Alexandria via LeMat-Bulk).

Cell and atoms, written as CIF:
```
data_Ba2SrLaH
_chemical_formula_sum 'Ba2 Sr1 La1 H1'
_cell_length_a 6.526
_cell_length_b 6.526
_cell_length_c 4.812
_cell_angle_alpha 90.00
_cell_angle_beta 90.00
_cell_angle_gamma 90.00
_symmetry_space_group_name_H-M 'P 4/m m m'
_symmetry_Int_Tables_number 123
_symmetry_space_group_name_Hall '-P 4 2'
loop_
_atom_site_label
_atom_site_fract_x
_atom_site_fract_y
_atom_site_fract_z
Ba1 0.000 0.500 0.000
Sr1 0.000 0.000 0.500
La1 0.500 0.500 0.500
H1 0.500 0.500 0.000
```

## Properties
* relative energy among the computed polymorphs: 0 meV per atom
* E_tot: -2.802 eV/atom

---

14.
# V2OsRuRh

A geometry-optimized V2OsRuRh structure (GGA-PBE, Alexandria via LeMat-Bulk).

Cell and atoms, written as CIF:
```
data_V2OsRuRh
_chemical_formula_sum 'V2 Os1 Ru1 Rh1'
_cell_length_a 4.476
_cell_length_b 4.476
_cell_length_c 4.675
_cell_angle_alpha 90.00
_cell_angle_beta 90.00
_cell_angle_gamma 90.00
_symmetry_space_group_name_H-M 'P 4/m m m'
_symmetry_Int_Tables_number 123
_symmetry_space_group_name_Hall '-P 4 2'
loop_
_atom_site_label
_atom_site_fract_x
_atom_site_fract_y
_atom_site_fract_z
V1 0.000 0.500 0.000
Os1 0.000 0.000 0.000
Ru1 0.500 0.500 0.500
Rh1 0.000 0.000 0.500
```

## Properties
* E_tot: -7.746 eV/atom
* DFT formation energy: 1473 meV per atom

---

15.
# Ce4Cu3Sb8

A geometry-optimized Ce4Cu3Sb8 structure (GGA-PBE, Alexandria via LeMat-Bulk).

Cell and atoms, written as CIF:
```
data_Ce4Cu3Sb8
_chemical_formula_sum 'Ce4 Cu3 Sb8'
_cell_length_a 4.394
_cell_length_b 4.394
_cell_length_c 19.318
_cell_angle_alpha 90.00
_cell_angle_beta 90.00
_cell_angle_gamma 90.00
_symmetry_space_group_name_H-M 'P -4 m 2'
_symmetry_Int_Tables_number 115
loop_
_symmetry_equiv_pos_as_xyz
'x,y,z'
'y,-x,-z'
'-x,-y,z'
'-y,x,-z'
'-x,y,z'
'-y,-x,-z'
'x,-y,z'
'y,x,-z'
loop_
_atom_site_label
_atom_site_fract_x
_atom_site_fract_y
_atom_site_fract_z
Ce1 0.000 0.500 0.115
Ce2 0.000 0.500 0.626
Cu1 0.000 0.000 0.000
Cu2 0.000 0.000 0.500
Cu3 0.500 0.500 0.500
Sb1 0.000 0.000 0.245
Sb2 0.000 0.500 0.419
Sb3 0.000 0.500 0.927
Sb4 0.500 0.500 0.245
```

## Properties
* uncorrected formation energy: -692 meV/atom
* E_tot: -5.292 eV/atom

---

16.
# Er2Tm3Th3

A geometry-optimized Er2Tm3Th3 structure (GGA-PBE, Alexandria via LeMat-Bulk).

Cell and atoms, written as CIF:
```
data_Er2Tm3Th3
_chemical_formula_sum 'Er4 Tm6 Th6'
_cell_length_a 4.979
_cell_length_b 4.983
_cell_length_c 20.082
_cell_angle_alpha 90.00
_cell_angle_beta 90.00
_cell_angle_gamma 90.00
_symmetry_space_group_name_H-M 'I m m m'
_symmetry_Int_Tables_number 71
_symmetry_space_group_name_Hall '-I 2 2'
loop_
_atom_site_label
_atom_site_fract_x
_atom_site_fract_y
_atom_site_fract_z
Er1 0.000 0.000 0.250
Tm1 0.000 0.000 0.000
Tm2 0.000 0.500 0.375
Th1 0.000 0.000 0.500
Th2 0.000 0.500 0.124
```

## Properties
* E_tot: -5.567 eV/atom
* DFT formation energy: 33 meV per atom

---

17.
# SrTa2Pt

A geometry-optimized SrTa2Pt structure (GGA-PBE, Alexandria via LeMat-Bulk).

Cell and atoms, written as CIF:
```
data_SrTa2Pt
_chemical_formula_sum 'Sr4 Ta8 Pt4'
_cell_length_a 5.073
_cell_length_b 5.073
_cell_length_c 18.343
_cell_angle_alpha 90.00
_cell_angle_beta 90.00
_cell_angle_gamma 90.00
_symmetry_space_group_name_H-M 'I 41/a m d'
_symmetry_Int_Tables_number 141
loop_
_symmetry_equiv_pos_as_xyz
'x,y,z'
'-x,-y,-z'
'-y+1/4,x+3/4,z+1/4'
'y+1/4,-x+3/4,-z+1/4'
'-x+1/2,-y,z+1/2'
'x+1/2,y,-z+1/2'
'y+1/4,-x+1/4,z+3/4'
'-y+1/4,x+1/4,-z+3/4'
'x,-y,-z'
'-x,y,z'
'-y+1/4,-x+1/4,-z+3/4'
'y+1/4,x+1/4,z+3/4'
'-x+1/2,y,-z+1/2'
'x+1/2,-y,z+1/2'
'y+1/4,x+3/4,-z+1/4'
'-y+1/4,-x+3/4,z+1/4'
'x+1/2,y+1/2,z+1/2'
'-x+1/2,-y+1/2,-z+1/2'
'-y+3/4,x+1/4,z+3/4'
'y+3/4,-x+1/4,-z+3/4'
'-x,-y+1/2,z'
'x,y+1/2,-z'
'y+3/4,-x+3/4,z+1/4'
'-y+3/4,x+3/4,-z+1/4'
'x+1/2,-y+1/2,-z+1/2'
'-x+1/2,y+1/2,z+1/2'
'-y+3/4,-x+3/4,-z+1/4'
'y+3/4,x+3/4,z+1/4'
'-x,y+1/2,-z'
'x,-y+1/2,z'
'y+3/4,x+1/4,-z+3/4'
'-y+3/4,-x+1/4,z+3/4'
loop_
_atom_site_label
_atom_site_fract_x
_atom_site_fract_y
_atom_site_fract_z
Sr1 0.000 0.250 0.375
Ta1 0.000 0.000 0.000
Pt1 0.000 0.250 0.875
```

## Properties
* relative energy among the computed polymorphs: 650 meV per atom
* E_tot: -7.153 eV/atom
* DFT formation energy: 704 meV per atom

---

18.
# Sc2PdPt2

A geometry-optimized Sc2PdPt2 structure (GGA-PBE, Alexandria via LeMat-Bulk).

Cell and atoms, written as CIF:
```
data_Sc2PdPt2
_chemical_formula_sum 'Sc4 Pd2 Pt4'
_cell_length_a 3.735
_cell_length_b 3.735
_cell_length_c 14.131
_cell_angle_alpha 90.00
_cell_angle_beta 90.00
_cell_angle_gamma 90.00
_symmetry_space_group_name_H-M 'I 4/m m m'
_symmetry_Int_Tables_number 139
_symmetry_space_group_name_Hall '-I 4 2'
loop_
_atom_site_label
_atom_site_fract_x
_atom_site_fract_y
_atom_site_fract_z
Sc1 0.000 0.000 0.109
Pd1 0.000 0.000 0.500
Pt1 0.000 0.500 0.250
```

## Properties
* relative energy among the computed polymorphs: 154 meV per atom
* E_tot: -6.743 eV/atom
* DFT formation energy: -755 meV per atom

---

19.
# Nd3Si4Tc4

A geometry-optimized Nd3Si4Tc4 structure (GGA-PBE, Alexandria via LeMat-Bulk).

Cell and atoms, written as CIF:
```
data_Nd3Si4Tc4
_chemical_formula_sum 'Nd6 Si8 Tc8'
_cell_length_a 7.592
_cell_length_b 7.592
_cell_length_c 7.592
_cell_angle_alpha 90.00
_cell_angle_beta 90.00
_cell_angle_gamma 90.00
_symmetry_space_group_name_H-M 'I -4 3 m'
_symmetry_Int_Tables_number 217
_symmetry_space_group_name_Hall 'I -4 2 3'
loop_
_atom_site_label
_atom_site_fract_x
_atom_site_fract_y
_atom_site_fract_z
Nd1 0.000 0.000 0.500
Si1 0.179 0.179 0.179
Tc1 0.137 0.137 0.863
```

## Properties
* uncorrected formation energy: -506 meV/atom
* E_tot: -7.548 eV/atom

---

20.
# Th2IrPd

A geometry-optimized Th2IrPd structure (GGA-PBE, Alexandria via LeMat-Bulk).

Cell and atoms, written as CIF:
```
data_Th2IrPd
_chemical_formula_sum 'Th2 Ir1 Pd1'
_cell_length_a 4.4967
_cell_length_b 4.4967
_cell_length_c 5.8430
_cell_angle_alpha 90.00
_cell_angle_beta 90.00
_cell_angle_gamma 120.00
_symmetry_space_group_name_H-M 'P -3 m 1'
_symmetry_Int_Tables_number 164
_symmetry_space_group_name_Hall '-P 3 2"'
loop_
_atom_site_label
_atom_site_fract_x
_atom_site_fract_y
_atom_site_fract_z
Th1 0.3333 0.6667 0.2359
Ir1 0.0000 0.0000 0.0000
Pd1 0.0000 0.0000 0.5000
```

## Properties
* E_tot: -8.071 eV/atom
* DFT formation energy: -848 meV per atom